Entry 1:
Density functional theory data (GGA-PBE) for a relaxed CsCaAsF6 crystal.

## Properties
- Fermi-level density of states (states/eV/f.u.) = 0.00
- spin magnetization (μB/f.u.) = 0.00
- uncorrected formation energy (eV per formula unit) = -25.7
- E_tot (eV per atom) = -4.934

Unit cell a=5.9029 b=10.4041 c=6.3027 alpha=90.00 beta=90.50 gamma=90.00
Last column: nearest neighbours and their distance in Å.
Space group C2 (No. 5)
Asymmetric unit:
Cs 0.0000 0.0000 0.0000 [2 per cell]  6 F 3.03-3.06
Ca 0.0000 0.3348 0.5000 [2 per cell]  6 F 2.27-2.30
As 0.0000 0.6651 0.5000 [2 per cell]  6 F 2.06-2.12
F 0.1108 0.5094 0.3107 [4 per cell]  1 As 2.12, 1 Ca 2.27
F 0.1665 0.7990 0.3187 [4 per cell]  1 As 2.06, 1 Ca 2.30
F 0.2082 0.1872 0.3161 [4 per cell]  1 As 2.08, 1 Ca 2.29



Entry 2:
Density functional theory data (GGA-PBE) for a relaxed Tl2ReBiSb crystal.

## Properties
- Fermi-level density of states (states/eV/f.u.) = 3.87
- spin magnetization (μB/f.u.) = 4.38
- uncorrected formation energy (eV per formula unit) = 8.8
- E_tot (eV per atom) = -3.286

Unit cell a=6.0043 b=6.0043 c=5.8411 alpha=90.00 beta=90.00 gamma=90.00
Last column: nearest neighbours and their distance in Å.
Space group P4/mmm (No. 123)
Asymmetric unit:
Tl 0.0000 0.5000 0.0000 [2 per cell]  2 Bi 3.00
Re 0.0000 0.0000 0.5000 [1 per cell]  8 Tl 4.19, 4 Sb 4.25
Bi 0.5000 0.5000 0.0000 [1 per cell]  2 Sb 2.92, 4 Tl 3.00
Sb 0.5000 0.5000 0.5000 [1 per cell]  2 Bi 2.92



Entry 3:
Density functional theory data (GGA-PBE) for a relaxed Pa2NiIr crystal.

## Properties
- Fermi-level density of states (states/eV/f.u.) = 6.16
- formation energy from the elements (eV per atom) = 0.132
- spin magnetization (μB/f.u.) = 0.00
- E_tot (eV per atom) = -8.276

Unit cell a=3.0313 b=3.0313 c=29.5243 alpha=90.00 beta=90.00 gamma=120.00
Last column: nearest neighbours and their distance in Å.
Space group R-3m (No. 166, hexagonal axes)
Asymmetric unit:
Pa 0.0000 0.0000 0.0850 [6 per cell]  1 Ni 2.51
Ni 0.0000 0.0000 0.0000 [3 per cell]  2 Pa 2.51
Ir 0.0000 0.0000 0.5000 [3 per cell]  6 Pa 2.98, 6 Ir 3.03



Entry 4:
Density functional theory data (GGA-PBE) for a relaxed La8TbTl2 crystal.

## Properties
- Fermi-level density of states (states/eV/f.u.) = 15.71
- formation energy from the elements (eV per atom) = -0.067
- spin magnetization (μB/f.u.) = 0.00
- E_tot (eV per atom) = -4.501

Unit cell a=9.1145 b=15.4626 c=6.0680 alpha=90.00 beta=114.83 gamma=90.00
Last column: nearest neighbours and their distance in Å.
Space group C2/m (No. 12)
Asymmetric unit:
La 0.0000 0.2238 0.0000 [4 per cell]  2 Tl 3.28, 1 Tb 3.46
La 0.1020 0.5000 0.8025 [4 per cell]  1 Tb 3.31, 2 La 3.35-3.60, 2 Tl 3.45
La 0.1957 0.1079 0.5952 [8 per cell]  2 La 3.26-3.34, 2 Tl 3.34-3.46
Tb 0.0000 0.0000 0.0000 [2 per cell]  8 La 3.31-3.69
Tl 0.0000 0.3051 0.5000 [4 per cell]  8 La 3.28-3.46



Entry 5:
Density functional theory data (GGA-PBE) for a relaxed CaMg crystal.

## Properties
- Fermi-level density of states (states/eV/f.u.) = 1.97
- formation energy from the elements (eV per atom) = 0.103
- spin magnetization (μB/f.u.) = 0.00
- E_tot (eV per atom) = -1.695

Unit cell a=8.5508 b=10.0909 c=12.7200 alpha=90.00 beta=90.00 gamma=90.00
Last column: nearest neighbours and their distance in Å.
Space group Fddd (No. 70, origin choice 2)
Asymmetric unit:
Ca 0.1250 0.3159 0.1250 [16 per cell]  6 Mg 3.30-3.45
Mg 0.0463 0.3750 0.8750 [16 per cell]  1 Mg 2.93



Entry 6:
Density functional theory data (GGA-PBE) for a relaxed HgPtI2 crystal.

## Properties
- Fermi-level density of states (states/eV/f.u.) = 6.74
- spin magnetization (μB/f.u.) = 0.00
- uncorrected formation energy (eV per formula unit) = 2.7
- E_tot (eV per atom) = -1.690

Unit cell a=7.5029 b=7.5029 c=7.5029 alpha=90.00 beta=90.00 gamma=90.00
Last column: nearest neighbours and their distance in Å.
Space group Fm-3m (No. 225)
Asymmetric unit:
Hg 0.0000 0.0000 0.0000 [4 per cell]  8 I 3.25
Pt 0.0000 0.0000 0.5000 [4 per cell]  8 I 3.25
I 0.2500 0.2500 0.2500 [8 per cell]  4 Hg 3.25, 4 Pt 3.25